Record 1
A plane-wave DFT calculation with PBE was carried out for a relaxed structure of Pm8SmIn6.

```
Pm8SmIn6
1.0
4.6082 2.6605 6.6182
-4.6082 2.6605 6.6182
0.0000 -5.3211 6.6182
Pm Sm In
8 1 6
direct
0.0507 0.7184 0.3850
0.1663 0.1663 0.1663
0.2816 0.6150 0.9493
0.3850 0.0507 0.7184
0.6150 0.9493 0.2816
0.7184 0.3850 0.0507
0.8337 0.8337 0.8337
0.9493 0.2816 0.6150
0.5000 0.5000 0.5000
0.1127 0.4451 0.7771
0.2229 0.8873 0.5549
0.4451 0.7771 0.1127
0.5549 0.2229 0.8873
0.7771 0.1127 0.4451
0.8873 0.5549 0.2229
```

Computed properties:
The density comes out at 6.8 g/cm3. The space-group type is R-3, No. 148. As for the energy of formation from the pure elements: -3.62 eV/f.u.



Record 2
A plane-wave DFT calculation with PBE was carried out for a relaxed structure of Pm2Sm3In.

```
Pm2Sm3In
1.0
-2.6185 4.6718 7.8973
2.6185 -4.6718 7.8973
2.6185 4.6718 -7.8973
Pm Sm In
4 6 2
direct
0.2737 0.0237 0.2500
0.4262 0.6762 0.7500
0.5738 0.3238 0.2500
0.7263 0.9763 0.7500
0.0000 0.5000 0.5000
0.1338 0.1718 0.9620
0.2902 0.8282 0.4620
0.5000 0.5000 0.0000
0.7098 0.1718 0.5380
0.8662 0.8282 0.0380
0.1024 0.3524 0.7500
0.8976 0.6476 0.2500
```

Computed properties:
The polymorph energy (0 for the lowest one) is 20 meV/atom. The density comes out at 7.4 g/cm3. The space-group type is Imma, No. 74. As for the energy of formation from the pure elements: -0.80 eV/f.u.



Record 3
A plane-wave DFT calculation with PBE was carried out for a relaxed structure of Pm6SmIn6.

```
Pm6SmIn6
1.0
6.3617 0.0000 0.0000
-3.1808 5.5094 0.0000
0.0000 0.0000 11.0590
Pm Sm In
6 1 6
direct
0.0000 0.0000 0.1655
0.0000 0.0000 0.8345
0.3333 0.6667 0.0000
0.3333 0.6667 0.5000
0.6667 0.3333 0.0000
0.6667 0.3333 0.5000
0.0000 0.0000 0.5000
0.0000 0.5000 0.2540
0.0000 0.5000 0.7460
0.5000 0.0000 0.2540
0.5000 0.0000 0.7460
0.5000 0.5000 0.2540
0.5000 0.5000 0.7460
```

Computed properties:
The density comes out at 7.3 g/cm3. The space-group type is P6/mmm, No. 191. As for the energy of formation from the pure elements: -4.43 eV/f.u.



Record 4
A plane-wave DFT calculation with PBE was carried out for a relaxed structure of PmSm3In2.

```
PmSm3In2
1.0
5.3153 0.0000 0.0000
0.0000 10.0424 0.0000
0.0000 0.0000 6.8327
Pm Sm In
2 6 4
direct
0.0000 0.0388 0.0000
0.0000 0.9612 0.5000
0.0000 0.3221 0.6585
0.0000 0.6779 0.1585
0.5000 0.1791 0.2755
0.5000 0.4608 0.9346
0.5000 0.5392 0.4346
0.5000 0.8209 0.7755
0.0000 0.3562 0.1806
0.0000 0.6438 0.6806
0.5000 0.1446 0.7529
0.5000 0.8554 0.2529
```

Computed properties:
The polymorph energy (0 for the lowest one) is 0 meV/atom. The density comes out at 7.5 g/cm3. The space-group type is Pmc2_1, No. 26. As for the energy of formation from the pure elements: -2.12 eV/f.u.



Record 5
A plane-wave DFT calculation with PBE was carried out for a relaxed structure of PmSm6In4.

```
PmSm6In4
1.0
-3.9490 3.9490 5.9399
3.9490 -3.9490 5.9399
3.9490 3.9490 -5.9399
Pm Sm In
1 6 4
direct
0.0000 0.0000 0.0000
0.0000 0.5000 0.5000
0.0947 0.4695 0.0000
0.4695 0.0947 0.0000
0.5000 0.0000 0.5000
0.5305 0.5305 0.6252
0.9053 0.9053 0.3748
0.2720 0.2720 0.6740
0.4020 0.7280 0.0000
0.5980 0.5980 0.3260
0.7280 0.4020 0.0000
```

Computed properties:
The density comes out at 6.8 g/cm3. The space-group type is I-42m, No. 121. As for the energy of formation from the pure elements: -1.54 eV/f.u.



Record 6
A plane-wave DFT calculation with PBE was carried out for a relaxed structure of Pm5Sm5In2.

```
Pm5Sm5In2
1.0
9.1495 -1.8285 0.0000
9.1495 1.8285 0.0000
-6.1791 0.0000 11.4565
Pm Sm In
5 5 2
direct
0.0000 0.0000 0.0000
0.1278 0.1278 0.7515
0.1571 0.1571 0.4832
0.8429 0.8429 0.5168
0.8722 0.8722 0.2485
0.1957 0.1957 0.2542
0.3302 0.3302 0.9929
0.5000 0.5000 0.5000
0.6698 0.6698 0.0071
0.8043 0.8043 0.7458
0.4718 0.4718 0.7571
0.5282 0.5282 0.2429
```

Computed properties:
The polymorph energy (0 for the lowest one) is 0 meV/atom. The density comes out at 7.4 g/cm3. The space-group type is C2/m, No. 12. As for the energy of formation from the pure elements: -1.54 eV/f.u.



The highest energy of formation from the pure elements belongs to which entry? Pm2Sm3In